(1)
## Tb6Sb2PSe3 (PBE)

Data for an optimized crystal structure of Tb6Sb2PSe3.

a b c (Å): 4.178 8.420 9.405
angles (deg): 102.57 102.83 90.00
Atoms (fractional coordinates):
Tb: 0.661 0.591 0.322
Sb: 0.168 0.335 0.336
Tb: 0.656 0.071 0.311
Se: 0.169 0.836 0.338
P: 0.500 0.000 0.000
Se: 0.831 0.164 0.662
Tb: 0.998 0.227 0.996
Tb: 0.002 0.773 0.004
Tb: 0.344 0.929 0.689
Sb: 0.832 0.665 0.664
Tb: 0.339 0.409 0.678
Se: 0.500 0.500 0.000

Values from the calculation:
Uncorrected formation energy   -1.56 eV per atom
Crystal system   monoclinic
DOS(E_F)   0.38 states/eV/atom
Energy   -5.88 eV/atom

---

(2)
## Tb6SbP3Se2 (PBE)

Data for an optimized crystal structure of Tb6SbP3Se2.

a b c (Å): 4.095 8.286 9.239
angles (deg): 103.87 102.80 90.00
Atoms (fractional coordinates):
P: 0.833 0.168 0.667
Sb: 0.500 0.000 0.000
P: 0.500 0.500 0.000
Tb: 0.004 0.734 0.007
Se: 0.831 0.663 0.663
Se: 0.169 0.337 0.337
Tb: 0.338 0.405 0.675
Tb: 0.327 0.927 0.654
Tb: 0.673 0.073 0.346
Tb: 0.996 0.266 0.993
Tb: 0.662 0.595 0.325
P: 0.167 0.832 0.333

Values from the calculation:
Uncorrected formation energy   -1.65 eV per atom
Crystal system   monoclinic
DOS(E_F)   0.33 states/eV/atom
Energy   -6.24 eV/atom

---

(3)
## SbTe2PSe (PBE)

Data for an optimized crystal structure of SbTe2PSe.

a b c (Å): 5.361 5.361 5.479
angles (deg): 90.00 90.00 90.00
Atoms (fractional coordinates):
Te: 0.000 0.500 0.000
Te: 0.500 0.000 0.000
Sb: 0.000 0.000 0.500
P: 0.500 0.500 0.500
Se: 0.000 0.000 0.000

Values from the calculation:
Uncorrected formation energy   1.01 eV per atom
Crystal system   tetragonal
DOS(E_F)   1.16 states/eV/atom
Energy   -2.85 eV/atom
Distance to the lowest polymorph of the same formula   174.2 kJ/mol of formula units

---

(4)
## Sb2TePSe (PBE)

Data for an optimized crystal structure of Sb2TePSe.

a b c (Å): 5.427 5.427 5.318
angles (deg): 90.00 90.00 90.00
Atoms (fractional coordinates):
Sb: 0.500 0.000 0.000
P: 0.500 0.500 0.500
Te: 0.000 0.000 0.500
Se: 0.000 0.000 0.000
Sb: 0.000 0.500 0.000

Values from the calculation:
Uncorrected formation energy   1.04 eV per atom
Crystal system   tetragonal
DOS(E_F)   1.41 states/eV/atom
Energy   -3.02 eV/atom
Distance to the lowest polymorph of the same formula   182.9 kJ/mol of formula units